[1]
SmMgP2Pd5 | PBE | relaxed

Cell lengths 4.1296, 4.1296, 8.6193 Å; angles 90.00, 90.00, 90.00 degrees
Positions (direct):
Sm 0.0000 0.0000 0.0000
Mg 0.0000 0.0000 0.5000
P 0.5000 0.5000 0.1309
P 0.5000 0.5000 0.8691
Pd 0.0000 0.5000 0.2733
Pd 0.0000 0.5000 0.7267
Pd 0.5000 0.0000 0.2733
Pd 0.5000 0.0000 0.7267
Pd 0.5000 0.5000 0.5000


[2]
MgSn2P2Pd7 | PBE | relaxed

Cell lengths 4.0630, 4.0630, 12.7354 Å; angles 97.19, 97.19, 89.18 degrees
Positions (direct):
Mg 0.0000 0.0000 0.0000
Sn 0.1173 0.1173 0.3475
Sn 0.8827 0.8827 0.6525
P 0.4012 0.4012 0.7404
P 0.5988 0.5988 0.2596
Pd 0.0616 0.5622 0.1611
Pd 0.2978 0.2978 0.5542
Pd 0.4378 0.9384 0.8389
Pd 0.5000 0.5000 0.0000
Pd 0.5622 0.0616 0.1611
Pd 0.7022 0.7022 0.4458
Pd 0.9384 0.4378 0.8389


[3]
SrMgPPd2 | PBE | relaxed

Cell lengths 5.1270, 5.1270, 5.4916 Å; angles 90.00, 90.00, 90.00 degrees
Positions (direct):
Sr 0.0000 0.0000 0.0000
Mg 0.5000 0.5000 0.5000
P 0.0000 0.0000 0.5000
Pd 0.0000 0.5000 0.0000
Pd 0.5000 0.0000 0.0000


[4]
SrMgP2Pd4 | PBE | relaxed

Cell lengths 4.2664, 4.2664, 7.8395 Å; angles 90.00, 90.00, 90.00 degrees
Positions (direct):
Sr 0.0000 0.0000 0.0000
Mg 0.0000 0.0000 0.5000
P 0.5000 0.5000 0.1439
P 0.5000 0.5000 0.8561
Pd 0.0000 0.5000 0.2985
Pd 0.0000 0.5000 0.7015
Pd 0.5000 0.0000 0.2985
Pd 0.5000 0.0000 0.7015


[5]
Sr3MgP2Pd9 | PBE | relaxed

Cell lengths 6.7530, 6.7530, 8.0239 Å; angles 90.00, 90.00, 120.00 degrees
Positions (direct):
Sr 0.0000 0.0000 0.0000
Sr 0.3333 0.6667 0.6857
Sr 0.6667 0.3333 0.3143
Mg 0.0000 0.0000 0.5000
P 0.3333 0.6667 0.1547
P 0.6667 0.3333 0.8453
Pd 0.0000 0.5000 0.0000
Pd 0.1905 0.3810 0.3579
Pd 0.1905 0.8095 0.3579
Pd 0.3810 0.1905 0.6421
Pd 0.5000 0.0000 0.0000
Pd 0.5000 0.5000 0.0000
Pd 0.6190 0.8095 0.3579
Pd 0.8095 0.1905 0.6421
Pd 0.8095 0.6190 0.6421


[6]
TbMgP2Pd5 | PBE | relaxed

Cell lengths 4.1117, 4.1117, 8.5985 Å; angles 90.00, 90.00, 90.00 degrees
Positions (direct):
Tb 0.0000 0.0000 0.0000
Mg 0.0000 0.0000 0.5000
P 0.5000 0.5000 0.1294
P 0.5000 0.5000 0.8706
Pd 0.0000 0.5000 0.2709
Pd 0.0000 0.5000 0.7291
Pd 0.5000 0.0000 0.2709
Pd 0.5000 0.0000 0.7291
Pd 0.5000 0.5000 0.5000


[7]
Y2MgPPd | PBE | relaxed

Properties
E above lowest polymorph = 0.000 eV/atom

Cell lengths 5.4623, 5.4623, 4.5017 Å; angles 90.00, 90.00, 90.00 degrees
Positions (direct):
Y 0.0000 0.5000 0.0000
Y 0.5000 0.0000 0.0000
Mg 0.0000 0.0000 0.5000
P 0.5000 0.5000 0.5000
Pd 0.5000 0.5000 0.0000


[8]
Y2MgPPd | PBE | relaxed

Properties
E above lowest polymorph = 0.609 eV/atom

Cell lengths 5.4839, 5.4839, 4.4402 Å; angles 90.00, 90.00, 90.00 degrees
Positions (direct):
Y 0.0000 0.5000 0.0000
Y 0.5000 0.0000 0.0000
Mg 0.0000 0.0000 0.0000
P 0.0000 0.0000 0.5000
Pd 0.5000 0.5000 0.5000


[9]
Pm2MgP | PBE | relaxed

Properties
E above lowest polymorph = 0.366 eV/atom

Cell lengths 7.3256, 7.3256, 7.3256 Å; angles 90.00, 90.00, 90.00 degrees
Positions (direct):
Pm 0.2500 0.2500 0.2500
Pm 0.2500 0.2500 0.7500
Pm 0.2500 0.7500 0.2500
Pm 0.2500 0.7500 0.7500
Pm 0.7500 0.2500 0.2500
Pm 0.7500 0.2500 0.7500
Pm 0.7500 0.7500 0.2500
Pm 0.7500 0.7500 0.7500
Mg 0.0000 0.0000 0.0000
Mg 0.0000 0.5000 0.5000
Mg 0.5000 0.0000 0.5000
Mg 0.5000 0.5000 0.0000
P 0.0000 0.0000 0.5000
P 0.0000 0.5000 0.0000
P 0.5000 0.0000 0.0000
P 0.5000 0.5000 0.5000


[10]
PmMgP2 | PBE | relaxed

Properties
E above lowest polymorph = 0.000 eV/atom

Cell lengths 4.0993, 4.0993, 18.2465 Å; angles 90.00, 90.00, 120.00 degrees
Positions (direct):
Pm 0.0000 0.0000 0.0000
Pm 0.3333 0.6667 0.6667
Pm 0.6667 0.3333 0.3333
Mg 0.0000 0.0000 0.5000
Mg 0.3333 0.6667 0.1667
Mg 0.6667 0.3333 0.8333
P 0.0000 0.0000 0.2436
P 0.0000 0.0000 0.7564
P 0.3333 0.6667 0.4231
P 0.3333 0.6667 0.9103
P 0.6667 0.3333 0.0897
P 0.6667 0.3333 0.5769


[11]
PmMgP2 | PBE | relaxed

Properties
E above lowest polymorph = 0.148 eV/atom

Cell lengths 4.6718, 4.6718, 3.6844 Å; angles 90.00, 90.00, 90.00 degrees
Positions (direct):
Pm 0.0000 0.0000 0.0000
Mg 0.5000 0.5000 0.0000
P 0.0000 0.5000 0.5000
P 0.5000 0.0000 0.5000


[12]
Pm2MgP | PBE | relaxed

Properties
E above lowest polymorph = 0.112 eV/atom

Cell lengths 3.7794, 3.7794, 6.9468 Å; angles 90.00, 90.00, 90.00 degrees
Positions (direct):
Pm 0.0000 0.0000 0.2241
Pm 0.0000 0.0000 0.7759
Mg 0.5000 0.5000 0.5000
P 0.5000 0.5000 0.0000


Looking at E_form for the records above, in order, we have -19.7, -9.5, 19.5, -15.5, -12.6, -19.8, -3.8, 10.2, -8.4, -18.9, -15.5, -14.3 kcal/mol of atoms.